Entry from the Alexandria database: a geometry-optimized TiPd3I structure (PBE-GGA).

Cell lengths 4.804, 4.804, 4.804 Å; angles 90.00, 90.00, 90.00 degrees
Site moments in Bohr magnetons follow the coordinates.
Fractional positions:
I  0.500  0.500  0.500  0.03
Pd  0.000  0.500  0.000  0.00
Pd  0.000  0.000  0.500  -0.03
Pd  0.500  0.000  0.000  0.03
Ti  0.000  0.000  0.000  0.52

## Properties
Fermi-level density of states	4.17	states/eV per cell
energy above the lowest structure with this stoichiometry	0	meV per atom



Entry from the Alexandria database: a geometry-optimized TiPdI2 structure (PBE-GGA).

Cell lengths 5.011, 5.011, 5.011 Å; angles 60.00, 60.00, 60.00 degrees
Fractional positions:
I  0.250  0.250  0.250
I  0.750  0.750  0.750
Pd  0.500  0.500  0.500
Ti  0.000  0.000  0.000

## Properties
Fermi-level density of states	7.81	states/eV per cell
energy above the lowest structure with this stoichiometry	217	meV per atom



Entry from the Alexandria database: a geometry-optimized Ti2PdI8 structure (PBE-GGA).

Cell lengths 7.064, 8.588, 8.588 Å; angles 84.70, 88.46, 88.46 degrees
Fractional positions:
Ti  0.687  0.192  0.192
Ti  0.313  0.808  0.808
Pd  0.000  0.000  0.000
I  0.186  0.077  0.696
I  0.186  0.696  0.077
I  0.814  0.923  0.304
I  0.240  0.611  0.611
I  0.814  0.304  0.923
I  0.326  0.175  0.175
I  0.674  0.825  0.825
I  0.760  0.389  0.389

## Properties
Fermi-level density of states	0.02	states/eV per cell
DFT total energy	-3.63	eV per atom